No. 1
TaIn4Cl | PBE | optimized geometry

abc: 5.8630 5.8630 5.8630
angles: 60.00 60.00 60.00
Closest atoms and distances in Å follow each position.
Element x y z (fractional)
Cl: 0.0000 0.0000 0.0000  12 In 3.44, 4 Ta 3.59
Ta: 0.7500 0.7500 0.7500  12 In 3.44, 4 Cl 3.59
In: 0.8747 0.3751 0.3751  6 In 2.93
In: 0.3751 0.3751 0.3751  6 In 2.93
In: 0.3751 0.3751 0.8747  6 In 2.93
In: 0.3751 0.8747 0.3751  6 In 2.93

Summary:
V	143	Å³ per cell
E_tot	-3.5906	eV/atom
uncorrected formation energy	518	meV/atom
SG	F-43m, No. 216

=====

No. 2
PmCo4B2 | PBE | optimized geometry

abc: 3.3411 6.8787 6.8787
angles: 90.00 90.00 90.00
Closest atoms and distances in Å follow each position.
Element x y z (fractional)
B: 0.0000 0.7747 0.2253  6 Co 2.17-2.26
B: 0.0000 0.2253 0.7747  6 Co 2.17-2.26
B: 0.5000 0.7253 0.7253  6 Co 2.17-2.26
B: 0.5000 0.2747 0.2747  6 Co 2.17-2.26
Co: 0.0000 0.6622 0.9168  3 B 2.17-2.26
Co: 0.0000 0.0832 0.3378  3 B 2.17-2.26
Co: 0.5000 0.4168 0.8378  3 B 2.17-2.26
Co: 0.5000 0.1622 0.5832  3 B 2.17-2.26
Co: 0.0000 0.9168 0.6622  3 B 2.17-2.26
Co: 0.0000 0.3378 0.0832  3 B 2.17-2.26
Co: 0.5000 0.5832 0.1622  3 B 2.17-2.26
Co: 0.5000 0.8378 0.4168  3 B 2.17-2.26
Pm: 0.0000 0.5000 0.5000  6 B 2.67-2.76, 8 Co 2.92
Pm: 0.5000 0.0000 0.0000  6 B 2.67-2.76, 8 Co 2.92

Summary:
V	158	Å³ per cell
ΔH_f (0 K)	-0.21	eV per atom
E_tot	-6.8559	eV/atom
SG	P4_2/mnm, No. 136

=====

No. 3
ZrZn3B | PBE | optimized geometry

abc: 5.2809 5.2809 5.2809
angles: 90.00 90.00 90.00
Closest atoms and distances in Å follow each position.
Element x y z (fractional)
Zn: 0.5000 0.0000 0.0000  2 Zr 2.64
Zn: 0.0000 0.5000 0.0000  2 Zr 2.64
Zn: 0.0000 0.0000 0.5000  2 Zr 2.64
Zr: 0.0000 0.0000 0.0000  6 Zn 2.64
B: 0.5000 0.5000 0.5000  12 Zn 3.73

Summary:
V	147	Å³ per cell
ΔH_f (0 K)	1.87	eV per atom
E_tot	-1.9430	eV/atom
SG	Pm-3m, No. 221

=====

No. 4
Y2PaHg | PBE | optimized geometry

abc: 3.4734 3.4734 8.9213
angles: 90.00 90.00 90.00
Closest atoms and distances in Å follow each position.
Element x y z (fractional)
Y: 0.0000 0.0000 0.2351  4 Hg 3.23, 4 Pa 3.41, 4 Y 3.47
Y: 0.0000 0.0000 0.7649  4 Hg 3.23, 4 Pa 3.41, 4 Y 3.47
Hg: 0.5000 0.5000 0.0000  8 Y 3.23, 4 Hg 3.47
Pa: 0.5000 0.5000 0.5000  8 Y 3.41, 4 Pa 3.47

Summary:
V	108	Å³ per cell
ΔH_f (0 K)	-0.14	eV per atom
E_tot	-5.8170	eV/atom
SG	P4/mmm, No. 123

=====

No. 5
NpSnO6 | PBE | optimized geometry

abc: 5.1885 5.2865 5.1777
angles: 83.52 76.70 60.61
Closest atoms and distances in Å follow each position.
Element x y z (fractional)
Sn: 0.5000 0.0000 0.5000  6 O 2.03-2.13
O: 0.9058 0.7210 0.2401  1 Np 1.99, 1 Sn 2.13
O: 0.3733 0.7210 0.7599  1 Np 1.99, 1 Sn 2.13
O: 0.6267 0.2790 0.2401  1 Np 1.99, 1 Sn 2.13
O: 0.2545 0.0000 0.2464  1 Sn 2.03, 1 Np 2.04
O: 0.7455 0.0000 0.7536  1 Sn 2.03, 1 Np 2.04
O: 0.0942 0.2790 0.7599  1 Np 1.99, 1 Sn 2.13
Np: 0.0000 0.0000 0.0000  6 O 1.99-2.04

Summary:
V	120	Å³ per cell
E_tot	-7.4851	eV/atom
uncorrected formation energy	-1648	meV/atom
SG	C2/m, No. 12

=====

No. 6
NbP2S2Cl5 | PBE | optimized geometry

abc: 6.9893 13.9313 27.4694
angles: 90.00 94.41 90.00
Closest atoms and distances in Å follow each position.
Element x y z (fractional)
S: 0.6408 0.4775 0.1940  2 P 2.11-2.14
S: 0.6184 0.5533 0.0753  2 P 2.11-2.14
S: 0.2286 0.9301 0.3821  2 P 2.07-2.15
S: 0.7714 0.0699 0.6179  2 P 2.07-2.15
S: 0.4656 0.2829 0.8327  2 P 2.13
S: 0.7286 0.5699 0.8821  2 P 2.07-2.15
S: 0.2714 0.4301 0.1179  2 P 2.07-2.15
S: 0.1184 0.9467 0.5753  2 P 2.11-2.14
S: 0.3816 0.4467 0.9247  2 P 2.11-2.14
S: 0.3592 0.5225 0.8060  2 P 2.11-2.14
S: 0.8816 0.0533 0.4247  2 P 2.11-2.14
S: 0.1408 0.0225 0.6940  2 P 2.11-2.14
S: 0.0344 0.7829 0.6673  2 P 2.13
S: 0.5344 0.7171 0.1673  2 P 2.13
S: 0.8592 0.9775 0.3060  2 P 2.11-2.14
S: 0.9656 0.2171 0.3327  2 P 2.13
P: 0.4450 0.5901 0.2025  2 S 2.11-2.13, 1 P 2.27
P: 0.4198 0.5693 0.8797  3 S 2.14-2.15
P: 0.7846 0.4318 0.8596  1 S 2.07, 2 P 2.27
P: 0.9450 0.9099 0.7025  2 S 2.11-2.13, 1 P 2.27
P: 0.9255 0.8440 0.5996  2 S 2.11-2.13, 1 P 2.27
P: 0.0550 0.0901 0.2975  2 S 2.11-2.13, 1 P 2.27
P: 0.5745 0.3440 0.9004  2 S 2.11-2.13, 1 P 2.27
P: 0.2846 0.0682 0.3596  1 S 2.07, 2 P 2.27
P: 0.4255 0.6560 0.0996  2 S 2.11-2.13, 1 P 2.27
P: 0.0802 0.0693 0.6203  3 S 2.14-2.15
P: 0.5802 0.4307 0.1203  3 S 2.14-2.15
P: 0.0745 0.1560 0.4004  2 S 2.11-2.13, 1 P 2.27
P: 0.9198 0.9307 0.3797  3 S 2.14-2.15
P: 0.2154 0.5682 0.1404  1 S 2.07, 2 P 2.27
P: 0.5550 0.4099 0.7975  2 S 2.11-2.13, 1 P 2.27
P: 0.7154 0.9318 0.6404  1 S 2.07, 2 P 2.27
Cl: 0.7732 0.3636 0.6265  1 Nb 2.29
Cl: 0.3716 0.1471 0.4978  1 Nb 2.37
Cl: 0.5034 0.8882 0.0755  1 Nb 2.34
Cl: 0.3930 0.2096 0.2474  1 Nb 2.36
Cl: 0.8716 0.3529 0.9978  1 Nb 2.37
Cl: 0.4003 0.4852 0.6810  1 Nb 2.34
Cl: 0.3272 0.3952 0.5301  1 Nb 2.29
Cl: 0.8272 0.1048 0.0301  1 Nb 2.29
Cl: 0.4421 0.2675 0.0118  1 Nb 2.36
Cl: 0.4346 0.3101 0.4143  1 Nb 2.35
Cl: 0.0654 0.8101 0.0857  1 Nb 2.35
Cl: 0.9346 0.1899 0.9143  1 Nb 2.35
Cl: 0.8930 0.2904 0.7474  1 Nb 2.36
Cl: 0.6728 0.6048 0.4699  1 Nb 2.29
Cl: 0.6284 0.8529 0.5022  1 Nb 2.37
Cl: 0.0527 0.7561 0.7948  1 Nb 2.36
Cl: 0.7268 0.8636 0.8735  1 Nb 2.29
Cl: 0.1728 0.8952 0.9699  1 Nb 2.29
Cl: 0.5527 0.7439 0.2948  1 Nb 2.36
Cl: 0.4473 0.2561 0.7052  1 Nb 2.36
Cl: 0.4966 0.1118 0.9245  1 Nb 2.34
Cl: 0.1070 0.7096 0.2526  1 Nb 2.36
Cl: 0.9966 0.3882 0.4245  1 Nb 2.34
Cl: 0.2268 0.6364 0.3735  1 Nb 2.29
Cl: 0.8387 0.5224 0.7289  1 Nb 2.35
Cl: 0.6070 0.7904 0.7526  1 Nb 2.36
Cl: 0.1613 0.4776 0.2711  1 Nb 2.35
Cl: 0.2732 0.1364 0.1265  1 Nb 2.29
Cl: 0.5654 0.6899 0.5857  1 Nb 2.35
Cl: 0.0034 0.6118 0.5755  1 Nb 2.34
Cl: 0.3387 0.9776 0.2289  1 Nb 2.35
Cl: 0.9421 0.2325 0.5118  1 Nb 2.36
Cl: 0.5579 0.7325 0.9882  1 Nb 2.36
Cl: 0.5997 0.5148 0.3190  1 Nb 2.34
Cl: 0.1284 0.6471 0.0022  1 Nb 2.37
Cl: 0.9003 0.0148 0.1810  1 Nb 2.34
Cl: 0.6613 0.0224 0.7711  1 Nb 2.35
Cl: 0.0579 0.7675 0.4882  1 Nb 2.36
Cl: 0.9473 0.2439 0.2052  1 Nb 2.36
Cl: 0.0997 0.9852 0.8190  1 Nb 2.34
Nb: 0.2073 0.2889 0.4721  5 Cl 2.29-2.37
Nb: 0.8363 0.8856 0.7978  5 Cl 2.29-2.36
Nb: 0.3363 0.6144 0.2978  5 Cl 2.29-2.36
Nb: 0.2927 0.7889 0.0279  5 Cl 2.29-2.37
Nb: 0.7073 0.2111 0.9721  5 Cl 2.29-2.37
Nb: 0.6637 0.3856 0.7022  5 Cl 2.29-2.36
Nb: 0.7927 0.7111 0.5279  5 Cl 2.29-2.37
Nb: 0.1637 0.1144 0.2022  5 Cl 2.29-2.36

Summary:
V	2667	Å³ per cell
E_tot	-4.6590	eV/atom
uncorrected formation energy	-821	meV/atom
SG	P2_1/c, No. 14

=====

No. 7
PuFeRu | PBE | optimized geometry

abc: 4.6086 4.6086 5.4661
angles: 90.00 90.00 119.96
Closest atoms and distances in Å follow each position.
Element x y z (fractional)
Fe: 0.0000 0.0000 0.0000  2 Fe 2.73, 6 Pu 2.99, 6 Ru 2.99
Fe: 0.0000 0.0000 0.5000  2 Fe 2.73, 6 Pu 2.99, 6 Ru 2.99
Pu: 0.6669 0.3331 0.7500  5 Ru 2.66-2.73
Pu: 0.3331 0.6669 0.2500  5 Ru 2.66-2.73
Ru: 0.3335 0.6665 0.7500  5 Pu 2.66-2.73
Ru: 0.6665 0.3335 0.2500  5 Pu 2.66-2.73

Summary:
V	101	Å³ per cell
ΔH_f (0 K)	0.03	eV per atom
E_tot	-10.6565	eV/atom
SG	P6_3/mmc, No. 194

=====

No. 8
Li2Re | PBE | optimized geometry

abc: 5.7501 5.7501 5.7501
angles: 90.00 90.00 90.00
Closest atoms and distances in Å follow each position.
Element x y z (fractional)
Li: 0.8912 0.1088 0.3912  1 Li 2.17, 3 Re 2.42
Li: 0.1088 0.6088 0.1088  1 Li 2.17, 3 Re 2.42
Li: 0.3912 0.3912 0.6088  1 Li 2.17, 3 Re 2.42
Li: 0.3912 0.1088 0.1088  1 Li 2.17, 3 Re 2.42
Li: 0.8912 0.3912 0.8912  1 Li 2.17, 3 Re 2.42
Li: 0.1088 0.8912 0.6088  1 Li 2.17, 3 Re 2.42
Li: 0.6088 0.6088 0.3912  1 Li 2.17, 3 Re 2.42
Li: 0.6088 0.8912 0.8912  1 Li 2.17, 3 Re 2.42
Re: 0.0000 0.0000 0.0000  6 Li 2.42
Re: 0.5000 0.0000 0.5000  6 Li 2.42
Re: 0.0000 0.5000 0.5000  6 Li 2.42
Re: 0.5000 0.5000 0.0000  6 Li 2.42

Summary:
V	190	Å³ per cell
ΔH_f (0 K)	1.88	eV per atom
E_tot	-3.5468	eV/atom
SG	Pa-3, No. 205

=====

No. 9
Ho7Ag2Pd2 | PBE | optimized geometry

abc: 6.7061 7.1529 6.7061
angles: 90.01 108.58 89.99
Closest atoms and distances in Å follow each position.
Element x y z (fractional)
Ho: 0.0002 0.7387 0.4997  2 Pd 2.74
Ho: 0.5002 0.7445 0.4998  2 Pd 2.94, 2 Ag 3.05
Ho: 0.0000 0.0000 0.0000  2 Pd 3.14
Ho: 0.4998 0.2555 0.5002  2 Pd 2.94, 2 Ag 3.05
Ho: 0.9998 0.2613 0.5003  2 Pd 2.74
Ho: 0.4997 0.2613 0.0002  2 Pd 2.74
Ho: 0.5003 0.7387 0.9998  2 Pd 2.74
Pd: 0.7117 0.0000 0.2883  6 Ho 2.74-2.94
Pd: 0.2883 0.0000 0.7117  6 Ho 2.74-2.94
Ag: 0.1813 0.5000 0.1813  1 Ag 2.84, 2 Ho 3.05
Ag: 0.8187 0.5000 0.8187  1 Ag 2.84, 2 Ho 3.05

Summary:
V	305	Å³ per cell
ΔH_f (0 K)	-0.26	eV per atom
E_tot	-4.6317	eV/atom
SG	Cmmm, No. 65

=====

No. 10
PuHAu | PBE | optimized geometry

abc: 3.8067 3.8067 7.1400
angles: 90.00 90.00 90.00
Closest atoms and distances in Å follow each position.
Element x y z (fractional)
Au: 0.7500 0.2500 0.1095  5 Pu 3.11-3.12, 4 Au 3.11, 4 H 3.38
Au: 0.2500 0.7500 0.8905  5 Pu 3.11-3.12, 4 Au 3.11, 4 H 3.38
Pu: 0.2500 0.7500 0.3273  4 H 2.27
Pu: 0.7500 0.2500 0.6727  4 H 2.27
H: 0.2500 0.2500 0.5000  4 Pu 2.27
H: 0.7500 0.7500 0.5000  4 Pu 2.27

Summary:
V	103	Å³ per cell
E_tot	-7.3936	eV/atom
SG	P4/nmm, No. 129

=====

No. 11
Ni4WSe | PBE | optimized geometry

abc: 4.7584 4.7584 4.7584
angles: 60.00 60.00 60.00
Closest atoms and distances in Å follow each position.
Element x y z (fractional)
Ni: 0.3741 0.3741 0.8776  6 Ni 2.36-2.40
Ni: 0.8776 0.3741 0.3741  6 Ni 2.36-2.40
Ni: 0.3741 0.8776 0.3741  6 Ni 2.36-2.40
Ni: 0.3741 0.3741 0.3741  6 Ni 2.36-2.40
W: 0.0000 0.0000 0.0000  12 Ni 2.79, 4 Se 2.91
Se: 0.7500 0.7500 0.7500  12 Ni 2.79, 4 W 2.91

Summary:
V	76	Å³ per cell
E_tot	-6.2981	eV/atom
uncorrected formation energy	296	meV/atom
SG	F-43m, No. 216

=====

No. 12
PrNdHo4Er2 | PBE | optimized geometry

abc: 9.4971 9.4971 11.7989
angles: 128.41 128.41 88.40
Closest atoms and distances in Å follow each position.
Element x y z (fractional)
Ho: 0.7535 0.2439 0.4988  3 Er 3.25-3.40, 1 Pr 3.37, 2 Ho 3.38-3.42, 2 Nd 3.41
Ho: 0.7457 0.7506 0.0028  3 Er 3.28-3.36, 1 Nd 3.34, 2 Ho 3.40, 2 Pr 3.44-3.46
Ho: 0.7494 0.7543 0.4972  3 Er 3.28-3.36, 1 Nd 3.34, 2 Ho 3.40, 2 Pr 3.44-3.46
Ho: 0.2506 0.2457 0.5028  3 Er 3.28-3.36, 1 Nd 3.34, 2 Ho 3.40, 2 Pr 3.44-3.46
Ho: 0.2561 0.7465 0.0012  3 Er 3.25-3.40, 1 Pr 3.37, 2 Ho 3.38-3.42, 2 Nd 3.41
Ho: 0.7439 0.2535 0.9988  3 Er 3.25-3.40, 1 Pr 3.37, 2 Ho 3.38-3.42, 2 Nd 3.41
Ho: 0.2465 0.7561 0.5012  3 Er 3.25-3.40, 1 Pr 3.37, 2 Ho 3.38-3.42, 2 Nd 3.41
Ho: 0.2543 0.2494 0.9972  3 Er 3.28-3.36, 1 Nd 3.34, 2 Ho 3.40, 2 Pr 3.44-3.46
Er: 0.5000 0.5000 0.0000  6 Ho 3.25-3.36, 2 Er 3.40
Er: 0.5000 0.0000 0.5000  6 Ho 3.28-3.40, 2 Nd 3.40
Er: 0.0000 0.0000 0.5000  6 Ho 3.25-3.36, 2 Er 3.40
Er: 0.5000 0.0000 0.0000  6 Ho 3.28-3.40, 2 Nd 3.40
Pr: 0.0000 0.0000 0.0000  6 Ho 3.37-3.46, 2 Pr 3.40
Pr: 0.5000 0.5000 0.5000  6 Ho 3.37-3.46, 2 Pr 3.40
Nd: 0.0000 0.5000 0.0000  6 Ho 3.34-3.41, 2 Er 3.40
Nd: 0.0000 0.5000 0.5000  6 Ho 3.34-3.41, 2 Er 3.40

Summary:
V	531	Å³ per cell
ΔH_f (0 K)	0.43	eV per atom
E_tot	-4.1955	eV/atom
SG	C2/c, No. 15